Material: MgW2Br
Method: DFT, GGA-PBE
State: optimized geometry

Cell and atoms, written as POSCAR:
```
MgW2Br
1.0
-1.1717 -2.4697 0.7809
2.2897 -1.3883 -0.9550
3.7601 0.7307 7.9527
Br Mg W
1 1 2
Cartesian
1.4990 -1.7463 1.9011
3.3791 -1.3809 5.8775
0.0173 0.0034 0.0366
1.8627 0.3620 3.9398
```

- SG = No. 123
- energy above the most stable polymorph in this dataset (meV per atom) = 856
- raw formation energy (meV/atom) = 1140


Material: Nd3CI2
Method: DFT, GGA-PBE
State: optimized geometry

Cell and atoms, written as POSCAR:
```
Nd3CI2
1.0
-5.7051 -3.8404 0.1371
1.5402 -0.0628 -7.3489
4.6736 -4.3127 3.9925
Nd C I
6 2 4
Cartesian
-3.4249 -5.5672 -0.2006
-0.9990 -3.0684 -1.8133
0.7701 -0.0314 -3.6744
3.9336 -2.6487 -3.0188
-0.5157 -4.0766 2.0648
1.5077 -5.1475 -1.4060
1.4306 -2.8088 -2.5488
-0.9219 -5.4071 -0.6705
0.3367 -1.3250 -6.5084
2.5389 -4.3119 1.4624
0.1721 -6.8909 3.2891
-2.0301 -3.9040 -4.6817
```

- SG = No. 15
- raw formation energy (meV/atom) = -564


Material: ZnSbCl2
Method: DFT, GGA-PBE
State: optimized geometry

Cell and atoms, written as POSCAR:
```
ZnSbCl2
1.0
-5.9296 -1.9867 -2.2376
-2.7993 -6.0178 0.2538
3.2012 4.6492 3.5003
Sb Zn Cl
1 1 2
Cartesian
-4.3645 -4.0023 -0.9919
-3.5465 -0.6699 0.1354
0.0000 0.0000 0.0000
-1.9813 -2.6854 1.3811
```

- SG = No. 119
- energy above the most stable polymorph in this dataset (meV per atom) = 543
- raw formation energy (meV/atom) = -6


Material: ScHS2
Method: DFT, GGA-PBE
State: optimized geometry

Cell and atoms, written as POSCAR:
```
ScHS2
1.0
-2.6948 -3.4747 0.3336
-4.3704 0.5863 -0.0496
-2.3600 -1.3031 -3.4898
Sc H S
1 1 2
Cartesian
-4.7126 -2.0958 -1.6029
0.0000 0.0000 0.0000
-2.3563 -1.0479 -0.8015
-7.0689 -3.1436 -2.4044
```

- SG = No. 225
- energy above the most stable polymorph in this dataset (meV per atom) = 879


Material: La2Dy3Zn2
Method: DFT, GGA-PBE
State: optimized geometry

Cell and atoms, written as POSCAR:
```
La2Dy3Zn2
1.0
-3.0514 -1.5558 -3.3784
5.9023 -2.1949 -0.8947
-4.3438 -3.8895 5.7144
La Dy Zn
2 3 2
Cartesian
0.7538 -3.7320 -2.3876
-2.2466 -3.9082 3.8289
-1.5257 -0.7779 -1.6892
-2.3612 -3.4059 0.2756
0.8683 -4.2343 1.1657
-1.8621 -6.0716 1.0525
0.3693 -1.5686 0.3888
```

- SG = No. 12
- energy above the most stable polymorph in this dataset (meV per atom) = 43


Material: Ac4BiSb2P
Method: DFT, GGA-PBE
State: optimized geometry

Cell and atoms, written as POSCAR:
```
Ac4BiSb2P
1.0
4.7295 0.0000 0.0000
0.0000 8.1952 -0.1660
0.0000 2.8802 7.6938
Ac Bi Sb P
4 1 2 1
Cartesian
0.0001 8.2374 5.5655
4.7295 2.8380 1.9622
2.3648 6.8138 1.9107
2.3648 4.2616 5.6170
2.3648 4.0976 -0.0830
0.0000 2.8802 7.6938
2.3648 1.4401 3.8469
0.0001 5.5377 3.7639
```

- SG = No. 10
- raw formation energy (meV/atom) = -1184


Material: LiCoSb2
Method: DFT, GGA-PBE
State: optimized geometry

Cell and atoms, written as POSCAR:
```
LiCoSb2
1.0
-2.2730 6.1603 -2.8823
-2.8526 2.4798 -6.0939
0.4002 -4.3879 5.6576
Co Li Sb
1 1 2
Cartesian
-2.7426 4.6231 -4.8029
-2.8169 1.7274 -3.0040
-4.9686 8.3753 -8.7012
-1.8857 2.4864 -0.2749
```

- SG = No. 44
- energy above the most stable polymorph in this dataset (meV per atom) = 41
- raw formation energy (meV/atom) = -112


Material: Sc3Rh2
Method: DFT, GGA-PBE
State: optimized geometry

Cell and atoms, written as POSCAR:
```
Sc3Rh2
1.0
4.4941 0.0000 0.0000
-2.2470 3.8920 0.0000
0.0000 0.0000 5.6443
Rh Sc
2 3
Cartesian
2.2470 1.2973 0.9256
0.0000 2.5946 4.7187
0.0000 0.0000 0.0000
2.2470 1.2973 3.7307
0.0000 2.5946 1.9137
```

- SG = No. 164
- energy above the most stable polymorph in this dataset (meV per atom) = 17


Material: AsPtBr2O
Method: DFT, GGA-PBE
State: optimized geometry

Cell and atoms, written as POSCAR:
```
AsPtBr2O
1.0
5.1680 0.0000 0.0000
0.0000 5.1680 0.0000
0.0000 0.0000 4.7673
O As Br Pt
1 1 2 1
Cartesian
2.5840 2.5840 2.3836
0.0000 0.0000 2.3836
0.0000 2.5840 0.0000
2.5840 0.0000 0.0000
0.0000 0.0000 0.0000
```

- SG = No. 123
- energy above the most stable polymorph in this dataset (meV per atom) = 25
- raw formation energy (meV/atom) = 880


Material: Pr2AgHg4
Method: DFT, GGA-PBE
State: optimized geometry

Cell and atoms, written as POSCAR:
```
Pr2AgHg4
1.0
4.9008 0.0000 1.5311
2.2112 4.3736 1.5311
-0.1101 -0.0677 8.9612
Pr Hg Ag
2 4 1
Cartesian
5.2308 3.2167 9.0839
1.7712 1.0892 2.9396
6.1607 3.7885 6.1076
0.8413 0.5174 5.9159
4.4189 2.7174 3.0737
2.5831 1.5885 8.9498
0.0000 0.0000 0.0000
```

- SG = No. 166
- raw total energy (eV per atom) = -2.236


Material: NaTbEr
Method: DFT, GGA-PBE
State: optimized geometry

Cell and atoms, written as POSCAR:
```
NaTbEr
1.0
-2.4849 -1.6894 -1.8312
2.9931 0.9700 -1.5756
3.7763 -7.9951 2.2518
Na Tb Er
1 1 1
Cartesian
0.0038 -0.0080 0.0022
3.6192 -5.1080 -0.1986
0.6615 -3.5985 -0.9586
```

- SG = No. 156
- energy above the most stable polymorph in this dataset (meV per atom) = 0


Material: BeCu2ReCl
Method: DFT, GGA-PBE
State: optimized geometry

Cell and atoms, written as POSCAR:
```
BeCu2ReCl
1.0
4.2828 0.0000 0.0000
0.0000 4.4051 0.0000
0.0000 0.0000 4.2828
Re Be Cu Cl
1 1 2 1
Cartesian
0.0000 2.2025 0.0000
2.1414 2.2025 2.1414
0.0000 0.0000 2.1414
2.1414 0.0000 0.0000
0.0000 0.0000 0.0000
```

- SG = No. 123
- raw formation energy (meV/atom) = 1559


| no. | DOS(E_F) (states/eV/cell) |
| --- | --- |
| 1 | 1.67 |
| 2 | 7.41 |
| 3 | 2.67 |
| 4 | 1.96 |
| 5 | 8.68 |
| 6 | 0.69 |
| 7 | 2.81 |
| 8 | 3.98 |
| 9 | 11.36 |
| 10 | 3.94 |
| 11 | 4.40 |
| 12 | 3.42 |